Entry from the Alexandria database: a crystal of ScSiIr2 relaxed with PBEsol (meta-GGA SCAN).

```
data_ScSiIr2
_space_group_name_H-M_alt 'P 4 m m'
_space_group_IT_number 99
_cell_length_a 3.371
_cell_length_b 3.371
_cell_length_c 5.337
_cell_angle_alpha 90.00
_cell_angle_beta 90.00
_cell_angle_gamma 90.00
loop_
_space_group_symop_operation_xyz
'x,y,z'
'-y,x,z'
'-x,-y,z'
'y,-x,z'
'-x,y,z'
'y,x,z'
'x,-y,z'
'-y,-x,z'
loop_
_atom_site_label
_atom_site_type_symbol
_atom_site_fract_x
_atom_site_fract_y
_atom_site_fract_z
_atom_site_occupancy
Sc1 Sc 0.000 0.000 0.000 1
Si1 Si 0.500 0.500 0.312 1
Ir1 Ir 0.000 0.000 0.472 1
Ir2 Ir 0.500 0.500 0.796 1
```

For the magnetic moment, the calculation gives 0.00 μB/atom. For the formation energy (no corrections), the calculation gives -57.8 kJ per mole of atoms.